# 1
A relaxed structure of Er5Te2Ru, computed with PBE-GGA.

Results
The value obtained for the total energy is -83.87 eV per cell. The value obtained for the density of states at the Fermi level is 13.06 states/eV/cell. For the energy above the most stable polymorph in this dataset, the calculation gives 315 meV/atom.

Structure (POSCAR):
```
Er5Te2Ru
1.0
2.580 -8.183 0.000
2.580 8.183 0.000
0.000 0.000 13.301
Er Te Ru
10 4 2
direct
0.095 0.905 0.615
0.095 0.905 0.885
0.262 0.738 0.250
0.308 0.692 0.576
0.308 0.692 0.924
0.692 0.308 0.076
0.692 0.308 0.424
0.738 0.262 0.750
0.905 0.095 0.115
0.905 0.095 0.385
0.092 0.908 0.114
0.092 0.908 0.386
0.908 0.092 0.614
0.908 0.092 0.886
0.215 0.785 0.750
0.785 0.215 0.250
```

---

# 2
A relaxed structure of Tm3Co8Cu, computed with PBE-GGA.

Results
The value obtained for the total energy is -76.47 eV per cell. For the formation energy, the calculation gives -0.18 eV/atom. The value obtained for the density of states at the Fermi level is 16.09 states/eV/cell.

Structure (POSCAR):
```
Tm3Co8Cu
1.0
2.475 1.429 8.070
-2.475 1.429 8.070
0.000 -2.858 8.070
Tm Co Cu
3 8 1
direct
0.000 0.000 0.000
0.129 0.129 0.129
0.616 0.616 0.616
0.061 0.061 0.560
0.061 0.560 0.061
0.066 0.562 0.562
0.312 0.312 0.312
0.560 0.061 0.061
0.562 0.066 0.562
0.562 0.562 0.066
0.812 0.812 0.812
0.495 0.495 0.495
```

---

# 3
A relaxed structure of Ca2Al6Ag, computed with PBE-GGA.

Results
The value obtained for the total energy is -31.35 eV per cell. For the formation energy, the calculation gives -0.23 eV/atom. The value obtained for the density of states at the Fermi level is 3.24 states/eV/cell.

Structure (POSCAR):
```
Ca2Al6Ag
1.0
5.031 -2.971 0.000
5.031 2.971 0.000
-1.502 0.000 6.179
Ca Al Ag
2 6 1
direct
0.150 0.150 0.366
0.850 0.850 0.634
0.097 0.638 0.156
0.362 0.903 0.844
0.379 0.379 0.824
0.621 0.621 0.176
0.638 0.097 0.156
0.903 0.362 0.844
0.500 0.500 0.500
```

---

# 4
A relaxed structure of CaGdMgRu, computed with PBE-GGA.

Results
The value obtained for the total energy is -26.90 eV per cell. For the formation energy, the calculation gives 0.01 eV/atom. The value obtained for the density of states at the Fermi level is 3.37 states/eV/cell.

Structure (POSCAR):
```
CaGdMgRu
1.0
0.000 3.586 3.586
3.586 0.000 3.586
3.586 3.586 0.000
Ca Gd Mg Ru
1 1 1 1
direct
0.000 0.000 0.000
0.500 0.500 0.500
0.250 0.250 0.250
0.750 0.750 0.750
```

---

# 5
A relaxed structure of K2FePt, computed with PBE-GGA.

Results
The value obtained for the total energy is -13.77 eV per cell. For the formation energy, the calculation gives 0.73 eV/atom. The value obtained for the density of states at the Fermi level is 3.51 states/eV/cell. For the energy above the most stable polymorph in this dataset, the calculation gives 524 meV/atom.

Structure (POSCAR):
```
K2FePt
1.0
2.875 -5.278 0.000
2.875 5.278 0.000
0.000 0.000 2.999
K Fe Pt
2 1 1
direct
0.000 0.500 0.000
0.500 0.000 0.000
0.000 0.000 0.500
0.500 0.500 0.500
```

---

# 6
A relaxed structure of Tl2In2I3, computed with PBE-GGA.

Results
The value obtained for the total energy is -17.20 eV per cell. The value obtained for the density of states at the Fermi level is 2.65 states/eV/cell.

Structure (POSCAR):
```
Tl2In2I3
1.0
4.457 0.000 0.000
-0.001 7.543 0.000
-2.222 -1.149 8.201
Tl In I
2 2 3
direct
0.101 0.434 0.197
0.899 0.566 0.803
0.376 0.175 0.751
0.624 0.825 0.249
0.000 0.000 0.000
0.276 0.756 0.554
0.724 0.244 0.446
```

---

# 7
A relaxed structure of Tb5Zn4In, computed with PBE-GGA.

Results
The value obtained for the total energy is -34.68 eV per cell. For the formation energy, the calculation gives -0.37 eV/atom. The value obtained for the density of states at the Fermi level is 10.51 states/eV/cell.

Structure (POSCAR):
```
Tb5Zn4In
1.0
3.590 0.000 0.000
0.000 3.590 0.000
0.000 0.000 18.457
Tb Zn In
5 4 1
direct
0.000 0.000 0.000
0.000 0.000 0.194
0.000 0.000 0.386
0.000 0.000 0.614
0.000 0.000 0.806
0.500 0.500 0.098
0.500 0.500 0.289
0.500 0.500 0.711
0.500 0.500 0.902
0.500 0.500 0.500
```

---

# 8
A relaxed structure of CuReCl, computed with PBE-GGA.

Results
The value obtained for the total energy is -16.41 eV per cell. The value obtained for the density of states at the Fermi level is 2.85 states/eV/cell. For the energy above the most stable polymorph in this dataset, the calculation gives 121 meV/atom.

Structure (POSCAR):
```
CuReCl
1.0
0.000 2.537 6.381
1.416 0.000 6.381
1.416 2.537 0.000
Cu Re Cl
1 1 1
direct
0.000 0.000 0.000
0.666 0.666 0.334
0.331 0.331 0.669
```

---

# 9
A relaxed structure of Tm7CoBr12, computed with PBE-GGA.

Results
The value obtained for the total energy is -89.40 eV per cell.

Structure (POSCAR):
```
Tm7CoBr12
1.0
7.290 4.209 3.429
-7.290 4.209 3.429
0.000 -8.417 3.429
Tm Co Br
7 1 12
direct
0.000 0.000 0.000
0.202 0.404 0.480
0.404 0.480 0.202
0.480 0.202 0.404
0.520 0.798 0.596
0.596 0.520 0.798
0.798 0.596 0.520
0.500 0.500 0.500
0.037 0.332 0.114
0.114 0.037 0.332
0.173 0.719 0.568
0.281 0.432 0.827
0.332 0.114 0.037
0.432 0.827 0.281
0.568 0.173 0.719
0.668 0.886 0.963
0.719 0.568 0.173
0.827 0.281 0.432
0.886 0.963 0.668
0.963 0.668 0.886
```

---

# 10
A relaxed structure of MgSiAs2, computed with PBE-GGA.

Results
The value obtained for the total energy is -16.08 eV per cell. The value obtained for the density of states at the Fermi level is 0.38 states/eV/cell. For the energy above the most stable polymorph in this dataset, the calculation gives 375 meV/atom.

Structure (POSCAR):
```
MgSiAs2
1.0
1.809 1.044 7.099
-1.809 1.044 7.099
0.000 -2.089 7.099
Mg Si As
1 1 2
direct
0.000 0.000 0.000
0.240 0.240 0.240
0.510 0.510 0.510
0.755 0.755 0.755
```

---

# 11
A relaxed structure of ScAg2Cl5, computed with PBE-GGA.

Results
The value obtained for the total energy is -62.33 eV per cell. The value obtained for the density of states at the Fermi level is 0.00 states/eV/cell. For the energy above the most stable polymorph in this dataset, the calculation gives 0 meV/atom.

Structure (POSCAR):
```
ScAg2Cl5
1.0
2.482 -6.893 0.000
2.482 6.893 0.000
0.000 0.000 13.181
Sc Ag Cl
2 4 10
direct
0.187 0.813 0.750
0.813 0.187 0.250
0.134 0.866 0.067
0.134 0.866 0.433
0.866 0.134 0.567
0.866 0.134 0.933
0.061 0.939 0.620
0.061 0.939 0.880
0.292 0.708 0.250
0.317 0.683 0.610
0.317 0.683 0.890
0.683 0.317 0.110
0.683 0.317 0.390
0.708 0.292 0.750
0.939 0.061 0.120
0.939 0.061 0.380
```

---

# 12
A relaxed structure of AcPmHo, computed with PBE-GGA.

Results
The value obtained for the total energy is -26.58 eV per cell. For the formation energy, the calculation gives 0.05 eV/atom. The value obtained for the density of states at the Fermi level is 8.40 states/eV/cell. For the energy above the most stable polymorph in this dataset, the calculation gives 0 meV/atom.

Structure (POSCAR):
```
AcPmHo
1.0
5.203 0.000 0.000
-2.601 5.902 0.000
-0.011 -2.410 7.109
Ac Pm Ho
2 2 2
direct
0.002 0.005 0.252
0.998 0.995 0.748
0.328 0.656 0.914
0.672 0.344 0.086
0.330 0.660 0.416
0.670 0.340 0.584
```

---

# 13
A relaxed structure of LaThHgRu, computed with PBE-GGA.

Results
The value obtained for the total energy is -23.47 eV per cell. For the formation energy, the calculation gives -0.39 eV/atom. The value obtained for the density of states at the Fermi level is 3.34 states/eV/cell.

Structure (POSCAR):
```
LaThHgRu
1.0
3.588 -2.070 0.000
3.588 2.070 0.000
-2.383 0.000 7.833
La Th Hg Ru
1 1 1 1
direct
0.000 0.000 0.000
0.202 0.202 0.607
0.769 0.769 0.308
0.596 0.596 0.788
```

---

# 14
A relaxed structure of ScCd3Si, computed with PBE-GGA.

Results
The value obtained for the total energy is -12.14 eV per cell. The value obtained for the density of states at the Fermi level is 2.84 states/eV/cell. For the energy above the most stable polymorph in this dataset, the calculation gives 0 meV/atom.

Structure (POSCAR):
```
ScCd3Si
1.0
5.054 0.000 0.000
0.000 5.054 0.000
0.000 0.000 5.054
Sc Cd Si
1 3 1
direct
0.000 0.000 0.000
0.000 0.500 0.500
0.500 0.000 0.500
0.500 0.500 0.000
0.500 0.500 0.500
```

---

# 15
A relaxed structure of LiCdTe, computed with PBE-GGA.

Results
The value obtained for the total energy is -6.97 eV per cell. The value obtained for the density of states at the Fermi level is 1.72 states/eV/cell. For the energy above the most stable polymorph in this dataset, the calculation gives 87 meV/atom.

Structure (POSCAR):
```
LiCdTe
1.0
-2.042 2.042 4.454
2.042 -2.042 4.454
2.042 2.042 -4.454
Li Cd Te
1 1 1
direct
0.000 0.000 0.000
0.687 0.687 0.000
0.346 0.346 0.000
```

---

# 16
A relaxed structure of Sc2InTc, computed with PBE-GGA.

Results
The value obtained for the total energy is -24.84 eV per cell. For the formation energy, the calculation gives 0.23 eV/atom. The value obtained for the density of states at the Fermi level is 3.85 states/eV/cell.

Structure (POSCAR):
```
Sc2InTc
1.0
-1.652 2.154 6.887
1.652 -2.154 6.887
1.652 2.154 -6.887
Sc In Tc
2 1 1
direct
0.172 0.172 0.000
0.828 0.828 0.000
0.500 0.500 0.000
0.000 0.000 0.000
```

---

# 17
A relaxed structure of Ba4AlCd, computed with PBE-GGA.

Results
The value obtained for the total energy is -9.60 eV per cell. For the formation energy, the calculation gives 0.46 eV/atom. The value obtained for the density of states at the Fermi level is 8.52 states/eV/cell. For the energy above the most stable polymorph in this dataset, the calculation gives 611 meV/atom.

Structure (POSCAR):
```
Ba4AlCd
1.0
0.000 5.137 5.137
5.137 0.000 5.137
5.137 5.137 0.000
Ba Al Cd
4 1 1
direct
0.125 0.125 0.125
0.125 0.125 0.624
0.125 0.624 0.125
0.624 0.125 0.125
0.500 0.500 0.500
0.750 0.750 0.750
```

---

# 18
A relaxed structure of Li2FeNi, computed with PBE-GGA.

Results
The value obtained for the total energy is -17.31 eV per cell. For the formation energy, the calculation gives 0.19 eV/atom. The value obtained for the density of states at the Fermi level is 2.81 states/eV/cell.

Structure (POSCAR):
```
Li2FeNi
1.0
2.466 0.000 0.000
0.000 4.116 0.000
0.000 0.000 4.817
Li Fe Ni
2 1 1
direct
0.000 0.000 0.243
0.000 0.000 0.757
0.500 0.500 0.500
0.500 0.500 0.000
```

---

# 19
A relaxed structure of Li4Cu7P6O24, computed with PBE-GGA.

Results
The value obtained for the total energy is -254.70 eV per cell. The value obtained for the density of states at the Fermi level is 12.08 states/eV/cell.

Structure (POSCAR):
```
Li4Cu7P6O24
1.0
5.581 -6.886 0.000
5.581 6.886 0.000
-1.552 0.000 6.113
Li Cu P O
4 7 6 24
direct
0.104 0.896 0.000
0.279 0.279 0.034
0.721 0.721 0.966
0.896 0.104 0.000
0.135 0.865 0.500
0.140 0.513 0.681
0.487 0.860 0.319
0.500 0.500 0.500
0.513 0.140 0.681
0.860 0.487 0.319
0.865 0.135 0.500
0.191 0.191 0.396
0.202 0.600 0.204
0.400 0.798 0.796
0.600 0.202 0.204
0.798 0.400 0.796
0.809 0.809 0.604
0.078 0.257 0.532
0.102 0.523 0.361
0.109 0.109 0.160
0.162 0.761 0.195
0.165 0.479 0.984
0.239 0.838 0.805
0.257 0.078 0.532
0.325 0.325 0.367
0.365 0.615 0.709
0.385 0.635 0.291
0.477 0.898 0.639
0.479 0.165 0.984
0.521 0.835 0.016
0.523 0.102 0.361
0.615 0.365 0.709
0.635 0.385 0.291
0.675 0.675 0.633
0.743 0.922 0.468
0.761 0.162 0.195
0.835 0.521 0.016
0.838 0.239 0.805
0.891 0.891 0.840
0.898 0.477 0.639
0.922 0.743 0.468
```

---

# 20
A relaxed structure of Tb4ZnCu, computed with PBE-GGA.

Results
The value obtained for the total energy is -24.88 eV per cell. For the formation energy, the calculation gives -0.16 eV/atom. The value obtained for the density of states at the Fermi level is 8.38 states/eV/cell. For the energy above the most stable polymorph in this dataset, the calculation gives 0 meV/atom.

Structure (POSCAR):
```
Tb4ZnCu
1.0
3.531 0.000 0.000
0.000 3.531 0.000
0.000 0.000 12.340
Tb Zn Cu
4 1 1
direct
0.000 0.000 0.139
0.000 0.000 0.861
0.500 0.500 0.355
0.500 0.500 0.645
0.000 0.000 0.500
0.500 0.500 0.000
```

---

# 21
A relaxed structure of Sr4GaAg2, computed with PBE-GGA.

Results
The value obtained for the total energy is -17.18 eV per cell. For the formation energy, the calculation gives -0.25 eV/atom. The value obtained for the density of states at the Fermi level is 6.26 states/eV/cell.

Structure (POSCAR):
```
Sr4GaAg2
1.0
2.778 1.604 8.969
-2.778 1.604 8.969
0.000 -3.208 8.969
Sr Ga Ag
4 1 2
direct
0.123 0.123 0.123
0.373 0.373 0.373
0.627 0.627 0.627
0.877 0.877 0.877
0.000 0.000 0.000
0.249 0.249 0.249
0.751 0.751 0.751
```

---

# 22
A relaxed structure of SrLa2In, computed with PBE-GGA.

Results
The value obtained for the total energy is -14.90 eV per cell. For the formation energy, the calculation gives -0.16 eV/atom. The value obtained for the density of states at the Fermi level is 5.06 states/eV/cell.

Structure (POSCAR):
```
SrLa2In
1.0
-2.553 2.553 5.202
2.553 -2.553 5.202
2.553 2.553 -5.202
Sr La In
1 2 1
direct
0.000 0.000 0.000
0.250 0.750 0.500
0.750 0.250 0.500
0.500 0.500 0.000
```

---

# 23
A relaxed structure of Nb2AlHAu, computed with PBE-GGA.

Results
The value obtained for the total energy is -31.60 eV per cell. The value obtained for the density of states at the Fermi level is 1.54 states/eV/cell. For the energy above the most stable polymorph in this dataset, the calculation gives 0 meV/atom.

Structure (POSCAR):
```
Nb2AlHAu
1.0
3.961 0.000 0.000
0.000 3.961 0.000
0.000 0.000 4.571
Nb Al H Au
2 1 1 1
direct
0.000 0.500 0.000
0.500 0.000 0.000
0.000 0.000 0.500
0.500 0.500 0.000
0.500 0.500 0.500
```

---

# 24
A relaxed structure of KZr3Si, computed with PBE-GGA.

Results
The value obtained for the total energy is -29.41 eV per cell. The value obtained for the density of states at the Fermi level is 10.33 states/eV/cell. For the energy above the most stable polymorph in this dataset, the calculation gives 0 meV/atom.

Structure (POSCAR):
```
KZr3Si
1.0
5.184 0.000 0.000
0.000 5.184 0.000
0.000 0.000 5.184
K Zr Si
1 3 1
direct
0.000 0.000 0.000
0.000 0.500 0.500
0.500 0.000 0.500
0.500 0.500 0.000
0.500 0.500 0.500
```